A relaxed LiYSeCl2 crystal. Source: the Alexandria database, functional GGA-PBE.

The structure in CIF format:
```
data_LiYSeCl2
_cell_length_a 6.753
_cell_length_b 6.753
_cell_length_c 5.015
_cell_angle_alpha 90.00
_cell_angle_beta 90.00
_cell_angle_gamma 90.00
_space_group_name_H-M_alt 'P 4/m m m'
_space_group_IT_number 123
_space_group_name_Hall '-P 4 2'
loop_
_atom_site_label
_atom_site_fract_x
_atom_site_fract_y
_atom_site_fract_z
_atom_site_occupancy
Li1 0.000 0.000 0.000 1
Y1 0.500 0.500 0.000 1
Se1 0.500 0.500 0.500 1
Cl1 0.000 0.500 0.500 1
```

Summary:
formation energy without anion corrections: -39.4 kJ/mol of atoms
V: 45.7 Å³ per atom